DFT (PBE+U) results for a relaxed structure of BeFeF2.

Calculated values
Space group ... Fm-3m (225)
VASP energy ... -4.01 eV per atom
Crystal system ... cubic
ΔE to the lowest computed polymorph ... 895 meV per atom

Unit cell a=3.9064 b=3.9064 c=3.9064 alpha=60.00 beta=60.00 gamma=60.00
Each line ends with the local moment (μB).
Atoms (fractional coordinates):
1 Be 0.0000 0.0000 0.0000  -0.12
2 Fe 0.5000 0.5000 0.5000  3.06
3 F 0.2500 0.2500 0.2500  -0.01
4 F 0.7500 0.7500 0.7500  -0.01